Entry 1:
Computed, not measured: a relaxed Rb2NaZnBi2 crystal at the PBE level of DFT.

Cell: 9.8679 9.8679 9.8679 Å, 135.60 63.90 136.52°
Atoms (fractional coordinates):
Rb  0.1671  0.2413  0.4083
Rb  0.3329  0.7413  0.0742
Rb  0.6671  0.2587  0.9258
Rb  0.8329  0.7587  0.5917
Na  0.2500  0.2500  0.0000
Na  0.7500  0.7500  0.0000
Zn  0.2500  0.7500  0.5000
Zn  0.7500  0.2500  0.5000
Bi  0.0944  0.7101  0.8045
Bi  0.4056  0.2101  0.6158
Bi  0.5944  0.7899  0.3842
Bi  0.9056  0.2899  0.1955

Values from the calculation:
- Density: 4.9 g/cm³
- Formation enthalpy at 0 K: -0.278 eV per atom
- Calculated total energy: -27.92 eV for the cell shown
- Total moment: 0.000 μB per atom

***

Entry 2:
Computed, not measured: a relaxed NaRe3Bi crystal at the PBE level of DFT.

Cell: 4.6464 4.6464 4.6464 Å, 90.00 90.00 90.00°
Atoms (fractional coordinates):
Na  0.0000  0.0000  0.0000
Re  0.0000  0.0000  0.5000
Re  0.0000  0.5000  0.0000
Re  0.5000  0.0000  0.0000
Bi  0.5000  0.5000  0.5000

Values from the calculation:
- Density: 13.1 g/cm³
- Formation enthalpy at 0 K: 2.946 eV per atom
- Calculated total energy: -27.82 eV for the cell shown
- Distance to the lowest polymorph of the same formula: 0.0 meV per atom
- Total moment: 1.000 μB per atom

***

Entry 3:
Computed, not measured: a relaxed NaRe3Bi crystal at the PBE level of DFT.

Cell: 5.0967 5.0967 5.0967 Å, 90.00 90.00 90.00°
Atoms (fractional coordinates):
Na  0.0000  0.0000  0.0000
Re  0.0000  0.5000  0.5000
Re  0.5000  0.0000  0.5000
Re  0.5000  0.5000  0.0000
Bi  0.5000  0.5000  0.5000

Values from the calculation:
- Density: 9.9 g/cm³
- Formation enthalpy at 0 K: 2.971 eV per atom
- Calculated total energy: -27.69 eV for the cell shown
- Distance to the lowest polymorph of the same formula: 25.4 meV per atom
- Total moment: 0.881 μB per atom

***

Entry 4:
Computed, not measured: a relaxed NaReBi2Se crystal at the PBE level of DFT.

Cell: 5.7836 5.7836 4.5621 Å, 90.00 90.00 90.00°
Atoms (fractional coordinates):
Na  0.0000  0.0000  0.0000
Re  0.5000  0.5000  0.0000
Bi  0.0000  0.5000  0.5000
Bi  0.5000  0.0000  0.5000
Se  0.5000  0.5000  0.5000

Values from the calculation:
- Formation energy without anion corrections: 848.1 meV per atom
- Density: 7.7 g/cm³
- Calculated total energy: -20.77 eV for the cell shown
- Total moment: 0.062 μB per atom

***

Entry 5:
Computed, not measured: a relaxed NaTlReBi2 crystal at the PBE level of DFT.

Cell: 5.9060 5.9060 5.2789 Å, 90.00 90.00 90.00°
Atoms (fractional coordinates):
Na  0.0000  0.0000  0.0000
Tl  0.5000  0.5000  0.5000
Re  0.5000  0.5000  0.0000
Bi  0.0000  0.5000  0.5000
Bi  0.5000  0.0000  0.5000

Values from the calculation:
- Density: 7.5 g/cm³
- Formation enthalpy at 0 K: 1.363 eV per atom
- Calculated total energy: -17.08 eV for the cell shown
- Total moment: 0.599 μB per atom

***

Entry 6:
Computed, not measured: a relaxed NaBi2Rh2 crystal at the PBE level of DFT.

Cell: 4.8762 4.8762 10.3017 Å, 90.00 90.00 90.00°
Atoms (fractional coordinates):
Na  0.0000  0.0000  0.0000
Na  0.5000  0.5000  0.5000
Bi  0.0000  0.5000  0.2500
Bi  0.0000  0.5000  0.7500
Bi  0.5000  0.0000  0.2500
Bi  0.5000  0.0000  0.7500
Rh  0.0000  0.0000  0.3771
Rh  0.0000  0.0000  0.6229
Rh  0.5000  0.5000  0.1229
Rh  0.5000  0.5000  0.8771

Values from the calculation:
- Density: 8.8 g/cm³
- Formation enthalpy at 0 K: -0.005 eV per atom
- Calculated total energy: -47.62 eV for the cell shown
- Distance to the lowest polymorph of the same formula: 175.1 meV per atom
- Total moment: 0.000 μB per atom

***

Entry 7:
Computed, not measured: a relaxed NaBi2Rh crystal at the PBE level of DFT.

Cell: 3.4162 3.4162 8.5424 Å, 90.00 90.00 90.00°
Atoms (fractional coordinates):
Na  0.0000  0.0000  0.0000
Bi  0.5000  0.5000  0.3040
Bi  0.5000  0.5000  0.6960
Rh  0.0000  0.0000  0.5000

Values from the calculation:
- Density: 9.1 g/cm³
- Formation enthalpy at 0 K: -0.191 eV per atom
- Calculated total energy: -17.20 eV for the cell shown
- Distance to the lowest polymorph of the same formula: 0.0 meV per atom
- Total moment: 0.000 μB per atom

***

Entry 8:
Computed, not measured: a relaxed NaBi2Rh crystal at the PBE level of DFT.

Cell: 8.5543 8.5543 6.0683 Å, 90.00 90.00 90.00°
Atoms (fractional coordinates):
Na  0.0000  0.0000  0.0000
Na  0.0000  0.5000  0.2500
Na  0.5000  0.0000  0.7500
Na  0.5000  0.5000  0.5000
Bi  0.1701  0.2500  0.6250
Bi  0.2500  0.6701  0.8750
Bi  0.2500  0.8299  0.3750
Bi  0.3299  0.2500  0.1250
Bi  0.6701  0.7500  0.1250
Bi  0.7500  0.1701  0.3750
Bi  0.7500  0.3299  0.8750
Bi  0.8299  0.7500  0.6250
Rh  0.0000  0.0000  0.5000
Rh  0.0000  0.5000  0.7500
Rh  0.5000  0.0000  0.2500
Rh  0.5000  0.5000  0.0000

Values from the calculation:
- Density: 8.1 g/cm³
- Formation enthalpy at 0 K: -0.053 eV per atom
- Calculated total energy: -66.57 eV for the cell shown
- Distance to the lowest polymorph of the same formula: 138.7 meV per atom
- Total moment: 0.000 μB per atom